Entry 1:
An optimized crystal structure of NdYSi2Os2. Source: OQMD, functional GGA-PBE.

Summary:
The calculation puts the total energy at -8.07 eV per atom. As for the symmetry: P4mm (99). The value obtained for the total magnetization is 0.0 Bohr magnetons per cell.

The structure in POSCAR format:
```
NdYSi2Os2
1.0
-0.146 -4.184 0.179
3.444 -0.222 -2.376
3.904 0.106 5.649
Nd Os Si Y
1 2 2 1
direct
0.000 0.000 0.670
0.500 0.000 0.003
0.000 0.500 0.003
0.000 0.000 0.187
0.500 0.500 0.819
0.500 0.500 0.318
```


Entry 2:
An optimized crystal structure of KHoGa4Pt2. Source: OQMD, functional GGA-PBE.

Summary:
The calculation puts the total energy at -4.30 eV per atom. As for the symmetry: Amm2 (38). The value obtained for the total magnetization is 0.0 Bohr magnetons per cell.

The structure in POSCAR format:
```
KHoGa4Pt2
1.0
-1.215 -4.061 5.519
0.228 4.483 3.349
-3.793 3.672 1.867
Ga Ho K Pt
4 1 1 2
direct
0.192 0.361 0.361
0.808 0.361 0.361
0.302 0.639 0.639
0.698 0.639 0.639
0.000 0.080 0.080
0.500 0.923 0.923
0.500 0.204 0.204
0.000 0.793 0.793
```


Entry 3:
An optimized crystal structure of SrScAuSe3. Source: OQMD, functional GGA-PBE.

Summary:
For the energy above the most stable polymorph in this dataset, the calculation gives 41.9 meV per atom. As for the symmetry: Pnma (62). The value obtained for the total magnetization is 0.0 Bohr magnetons per cell.

The structure in POSCAR format:
```
SrScAuSe3
1.0
10.507 0.000 0.000
0.000 4.038 0.000
0.000 0.000 13.595
Au Sc Se Sr
4 4 12 4
direct
0.253 0.250 0.215
0.753 0.250 0.285
0.247 0.750 0.715
0.747 0.750 0.785
0.019 0.750 0.245
0.519 0.750 0.255
0.481 0.250 0.745
0.981 0.250 0.755
0.056 0.250 0.107
0.469 0.250 0.118
0.772 0.750 0.161
0.272 0.750 0.339
0.969 0.250 0.382
0.556 0.250 0.393
0.444 0.750 0.607
0.031 0.750 0.618
0.728 0.250 0.661
0.228 0.250 0.839
0.531 0.750 0.882
0.944 0.750 0.893
0.268 0.750 0.011
0.768 0.750 0.489
0.232 0.250 0.511
0.732 0.250 0.989
```


Entry 4:
An optimized crystal structure of SmTmInCo2. Source: OQMD, functional GGA-PBE.

Summary:
The calculation puts the total energy at -5.55 eV per atom. As for the symmetry: Amm2 (38). The value obtained for the total magnetization is 1.2 Bohr magnetons per cell.

The structure in POSCAR format:
```
SmTmInCo2
1.0
3.909 0.000 0.000
0.000 1.908 6.918
0.000 -1.908 6.918
Co In Sm Tm
2 1 1 1
direct
0.000 0.204 0.204
0.000 0.791 0.791
0.000 0.004 0.004
0.500 0.362 0.362
0.500 0.640 0.640
```


Entry 5:
An optimized crystal structure of LaNdIN. Source: OQMD, functional GGA-PBE.

Summary:
The calculation puts the total energy at -6.15 eV per atom. As for the symmetry: P-3m1 (164). The value obtained for the total magnetization is 0.0 Bohr magnetons per cell.

The structure in POSCAR format:
```
LaNdIN
1.0
3.825 0.000 0.000
-1.913 3.313 0.000
0.000 0.000 15.414
I La N Nd
2 2 2 2
direct
0.333 0.667 0.244
0.667 0.333 0.756
0.667 0.333 0.412
0.333 0.667 0.588
0.000 0.000 0.000
0.000 0.000 0.500
0.667 0.333 0.084
0.333 0.667 0.916
```


Entry 6:
An optimized crystal structure of LuAlNO. Source: OQMD, functional GGA-PBE.

Summary:
For the energy above the most stable polymorph in this dataset, the calculation gives 0.0 meV per atom. As for the symmetry: Pmc2_1 (26). The value obtained for the total magnetization is 0.1 Bohr magnetons per cell.

The structure in POSCAR format:
```
LuAlNO
1.0
2.730 1.778 -0.983
0.383 1.920 4.537
3.620 -4.641 1.658
Al Lu N O
2 2 2 2
direct
0.500 0.993 0.178
0.500 0.493 0.822
0.000 0.466 0.338
0.000 0.966 0.662
0.000 0.942 0.304
0.000 0.442 0.696
0.500 0.353 0.097
0.500 0.853 0.903
```


Entry 7:
An optimized crystal structure of Er9Fe10Ge10. Source: OQMD, functional GGA-PBE.

Summary:
The calculation puts the total energy at -6.42 eV per atom. As for the symmetry: Immm (71). The value obtained for the total magnetization is 16.0 Bohr magnetons per cell.

The structure in POSCAR format:
```
Er9Fe10Ge10
1.0
-2.679 6.633 7.019
2.679 -6.633 7.019
2.679 6.633 -7.019
Er Fe Ge
9 10 10
direct
0.303 0.303 0.000
0.697 0.697 0.000
0.720 0.500 0.220
0.489 0.136 0.353
0.218 0.864 0.353
0.000 0.500 0.500
0.782 0.136 0.647
0.511 0.864 0.647
0.280 0.500 0.780
0.094 0.094 0.000
0.906 0.906 0.000
0.702 0.088 0.099
0.011 0.396 0.099
0.989 0.088 0.385
0.298 0.396 0.385
0.702 0.604 0.615
0.011 0.912 0.615
0.989 0.604 0.901
0.298 0.912 0.901
0.171 0.000 0.171
0.507 0.295 0.213
0.918 0.705 0.213
0.500 0.748 0.248
0.792 0.292 0.500
0.208 0.708 0.500
0.500 0.252 0.752
0.082 0.295 0.787
0.493 0.705 0.787
0.829 0.000 0.829
```


Entry 8:
An optimized crystal structure of Hf3Zr3CoAs2. Source: OQMD, functional GGA-PBE.

Summary:
For the energy above the most stable polymorph in this dataset, the calculation gives 83.6 meV per atom. As for the symmetry: P-62m (189). The value obtained for the total magnetization is 0.0 Bohr magnetons per cell.

The structure in POSCAR format:
```
Hf3Zr3CoAs2
1.0
7.525 0.000 0.000
-3.762 6.517 0.000
0.000 0.000 3.525
As Co Hf Zr
2 1 3 3
direct
0.667 0.333 0.500
0.333 0.667 0.500
0.000 0.000 0.000
0.410 0.000 0.000
0.000 0.410 0.000
0.590 0.590 0.000
0.751 0.000 0.500
0.249 0.249 0.500
0.000 0.751 0.500
```


Entry 9:
An optimized crystal structure of ZnPbSO. Source: OQMD, functional GGA-PBE.

Summary:
For the energy above the most stable polymorph in this dataset, the calculation gives 56.0 meV per atom. As for the symmetry: Pbam (55).

The structure in POSCAR format:
```
ZnPbSO
1.0
-0.080 2.192 9.373
0.912 -18.417 4.315
3.902 0.191 -0.011
O Pb S Zn
8 8 8 8
direct
0.194 0.049 0.000
0.213 0.202 0.000
0.713 0.298 0.000
0.694 0.451 0.000
0.306 0.549 0.000
0.287 0.702 0.000
0.787 0.798 0.000
0.806 0.951 0.000
0.741 0.012 0.500
0.677 0.232 0.500
0.177 0.268 0.500
0.241 0.488 0.500
0.759 0.512 0.500
0.823 0.732 0.500
0.323 0.768 0.500
0.259 0.988 0.500
0.475 0.106 0.500
0.929 0.144 0.500
0.429 0.356 0.500
0.975 0.394 0.500
0.025 0.606 0.500
0.571 0.644 0.500
0.071 0.856 0.500
0.525 0.894 0.500
0.353 0.126 0.000
0.055 0.127 0.000
0.555 0.373 0.000
0.853 0.374 0.000
0.147 0.626 0.000
0.445 0.627 0.000
0.945 0.873 0.000
0.647 0.874 0.000
```


Entry 10:
An optimized crystal structure of TbBePt. Source: OQMD, functional GGA-PBE.

Summary:
For the energy above the most stable polymorph in this dataset, the calculation gives 25.5 meV per atom. As for the symmetry: F-43m (216). The value obtained for the total magnetization is 0.0 Bohr magnetons per cell.

The structure in POSCAR format:
```
TbBePt
1.0
0.000 3.038 3.038
3.038 0.000 3.038
3.038 3.038 0.000
Be Pt Tb
1 1 1
direct
0.000 0.000 0.000
0.250 0.250 0.250
0.750 0.750 0.750
```


Entry 11:
An optimized crystal structure of LiZnFeB. Source: OQMD, functional GGA-PBE.

Summary:
For the energy above the most stable polymorph in this dataset, the calculation gives 18.7 meV per atom. As for the symmetry: F-43m (216). The value obtained for the total magnetization is 0.0 Bohr magnetons per cell.

The structure in POSCAR format:
```
LiZnFeB
1.0
0.000 2.710 2.710
2.710 0.000 2.710
2.710 2.710 0.000
B Fe Li Zn
1 1 1 1
direct
0.000 0.000 0.000
0.250 0.250 0.250
0.750 0.750 0.750
0.500 0.500 0.500
```


Computed volume, in the same sequence as the records: 121, 157, 577, 103, 195, 103, 499, 173, 712, 56, 40 Å³ per cell.